First-principles (GGA-PBE) data for crystalline Er2PuC at its relaxed geometry, as listed in Alexandria via LeMat-Bulk.

- E (eV per atom) = -8.167
- energy of formation from the pure elements (kJ/mol of atoms) = 0.3
- calculated volume (Å³/cell) = 99.86
- crystal system = trigonal

Cell lengths 3.465, 3.465, 9.810 Å; angles 79.83, 79.83, 60.00 degrees
Site moments in Bohr magnetons follow the coordinates.
Sites, in units of the cell vectors:
C  0.500  0.500  0.500  0.01
Er  0.120  0.120  0.641  0.01
Er  0.880  0.880  0.359  0.01
Pu  0.000  0.000  0.000  5.73